Here is a geometry-optimized NdTlHgTe3 structure from OQMD via LeMat-Bulk. Energies are from PBE.

Cell lengths 11.856, 4.520, 15.411 Å; angles 90.00, 90.00, 90.00 degrees
Element x y z (fractional)
Nd 0.015 0.250 0.246
Nd 0.485 0.750 0.746
Nd 0.515 0.250 0.254
Nd 0.985 0.750 0.754
Tl 0.228 0.750 0.511
Tl 0.272 0.250 0.011
Tl 0.728 0.750 0.989
Tl 0.772 0.250 0.489
Hg 0.240 0.250 0.716
Hg 0.260 0.750 0.216
Hg 0.740 0.250 0.784
Hg 0.760 0.750 0.284
Te 0.041 0.250 0.613
Te 0.069 0.750 0.105
Te 0.237 0.750 0.836
Te 0.263 0.250 0.336
Te 0.431 0.250 0.605
Te 0.459 0.750 0.113
Te 0.541 0.250 0.887
Te 0.569 0.750 0.395
Te 0.737 0.750 0.664
Te 0.763 0.250 0.164
Te 0.931 0.250 0.895
Te 0.959 0.750 0.387

Its polymorph energy (0 for the lowest one) is 0 meV per atom. The symmetry is Pnma, No. 62. As for the crystal system: orthorhombic. The uncorrected energy comes out at -3.551 eV/atom.

=====

Here is a geometry-optimized NdTlHgTe3 structure from OQMD via LeMat-Bulk. Energies are from PBE.

Cell lengths 12.764, 4.681, 13.449 Å; angles 90.00, 90.00, 90.00 degrees
Element x y z (fractional)
Nd 0.029 0.250 0.187
Nd 0.471 0.750 0.687
Nd 0.529 0.250 0.313
Nd 0.971 0.750 0.813
Tl 0.186 0.250 0.489
Tl 0.314 0.750 0.989
Tl 0.686 0.250 0.011
Tl 0.814 0.750 0.511
Hg 0.244 0.750 0.299
Hg 0.256 0.250 0.799
Hg 0.744 0.750 0.201
Hg 0.756 0.250 0.701
Te 0.030 0.750 0.353
Te 0.087 0.250 0.937
Te 0.219 0.750 0.676
Te 0.281 0.250 0.176
Te 0.413 0.750 0.437
Te 0.470 0.250 0.853
Te 0.530 0.750 0.147
Te 0.587 0.250 0.563
Te 0.719 0.750 0.824
Te 0.781 0.250 0.324
Te 0.913 0.750 0.063
Te 0.970 0.250 0.647

Its polymorph energy (0 for the lowest one) is 42 meV per atom. The symmetry is Pnma, No. 62. As for the crystal system: orthorhombic. The uncorrected energy comes out at -3.508 eV/atom.

=====

Here is a geometry-optimized Nd3TlHg5 structure from OQMD via LeMat-Bulk. Energies are from PBE.

Cell lengths 9.176, 9.176, 6.554 Å; angles 90.00, 90.00, 120.00 degrees
Element x y z (fractional)
Nd 0.000 0.335 0.250
Nd 0.000 0.665 0.750
Nd 0.335 0.000 0.250
Nd 0.335 0.335 0.750
Nd 0.665 0.000 0.750
Nd 0.665 0.665 0.250
Tl 0.000 0.000 0.000
Tl 0.000 0.000 0.500
Hg 0.000 0.334 0.750
Hg 0.000 0.666 0.250
Hg 0.333 0.667 0.000
Hg 0.333 0.667 0.500
Hg 0.334 0.000 0.750
Hg 0.334 0.334 0.250
Hg 0.666 0.000 0.250
Hg 0.666 0.666 0.750
Hg 0.667 0.333 0.000
Hg 0.667 0.333 0.500

The symmetry is P6_3/mcm, No. 193. As for the crystal system: hexagonal. The uncorrected energy comes out at -2.452 eV/atom.

=====

Here is a geometry-optimized NdHgW structure from OQMD via LeMat-Bulk. Energies are from PBE.

Cell lengths 4.962, 4.962, 4.962 Å; angles 60.00, 60.00, 60.00 degrees
Element x y z (fractional)
Nd 0.000 0.000 0.000
Hg 0.750 0.750 0.750
W 0.250 0.250 0.250

Its polymorph energy (0 for the lowest one) is 363 meV per atom. The formation energy is 1.419 eV/atom. The symmetry is F-43m, No. 216. As for the crystal system: cubic. The uncorrected energy comes out at -4.588 eV/atom.

=====

Here is a geometry-optimized NdHgW structure from OQMD via LeMat-Bulk. Energies are from PBE.

Cell lengths 4.878, 4.878, 4.878 Å; angles 60.00, 60.00, 60.00 degrees
Element x y z (fractional)
Nd 0.000 0.000 0.000
Hg 0.500 0.500 0.500
W 0.750 0.750 0.750

Its polymorph energy (0 for the lowest one) is 0 meV per atom. The formation energy is 1.056 eV/atom. The symmetry is F-43m, No. 216. As for the crystal system: cubic. The uncorrected energy comes out at -4.950 eV/atom.

=====

Here is a geometry-optimized NdY2Hg5 structure from OQMD via LeMat-Bulk. Energies are from PBE.

Cell lengths 8.212, 8.212, 8.212 Å; angles 142.76, 142.76, 53.68 degrees
Element x y z (fractional)
Nd 0.000 0.000 0.000
Y 0.267 0.267 0.000
Y 0.733 0.733 0.000
Hg 0.128 0.628 0.500
Hg 0.372 0.872 0.500
Hg 0.500 0.500 0.000
Hg 0.628 0.128 0.500
Hg 0.872 0.372 0.500

The formation energy is -0.457 eV/atom. The symmetry is I4/mmm, No. 139. As for the crystal system: tetragonal. The uncorrected energy comes out at -2.854 eV/atom.

=====

Here is a geometry-optimized Nd3Zn2Hg4 structure from OQMD via LeMat-Bulk. Energies are from PBE.

Cell lengths 6.067, 6.067, 9.139 Å; angles 114.04, 114.04, 47.23 degrees
Element x y z (fractional)
Nd 0.000 0.000 0.000
Nd 0.338 0.338 0.334
Nd 0.662 0.662 0.666
Zn 0.387 0.387 0.716
Zn 0.613 0.613 0.284
Hg 0.068 0.068 0.391
Hg 0.288 0.288 0.941
Hg 0.712 0.712 0.059
Hg 0.932 0.932 0.609

The formation energy is -0.422 eV/atom. The symmetry is C2/m, No. 12. As for the crystal system: monoclinic. The uncorrected energy comes out at -2.423 eV/atom.

=====

Here is a geometry-optimized Ni2Hg3 structure from OQMD via LeMat-Bulk. Energies are from PBE.

Cell lengths 6.892, 6.892, 3.700 Å; angles 90.00, 90.00, 90.00 degrees
Element x y z (fractional)
Ni 0.128 0.372 0.000
Ni 0.372 0.872 0.000
Ni 0.628 0.128 0.000
Ni 0.872 0.628 0.000
Hg 0.000 0.000 0.000
Hg 0.165 0.665 0.500
Hg 0.335 0.165 0.500
Hg 0.500 0.500 0.000
Hg 0.665 0.835 0.500
Hg 0.835 0.335 0.500

The formation energy is 0.168 eV/atom. The symmetry is P4/mbm, No. 127. As for the crystal system: tetragonal. The uncorrected energy comes out at -2.238 eV/atom.